Version i
VASP calculation (PBE) on Nd2TlP after structural relaxation.

Properties
M_tot   0.0 μB per cell

a = 4.0871 Å, b = 4.0871 Å, c = 24.1868 Å
α = 90.00°, β = 90.00°, γ = 120.00°
Space group R-3m (No. 166, hexagonal axes)
Inequivalent atoms, fractional coordinates:
Nd 0.0000 0.0000 0.2349 x6
Tl 0.0000 0.0000 0.0000 x3
P 0.0000 0.0000 0.5000 x3

=====

Version ii
VASP calculation (PBE) on Nd2TlP after structural relaxation.

Properties
M_tot   0.0 μB per cell

a = 4.0344 Å, b = 4.0344 Å, c = 25.1277 Å
α = 90.00°, β = 90.00°, γ = 120.00°
Space group R3m (No. 160, hexagonal axes)
Inequivalent atoms, fractional coordinates:
Nd 0.0000 0.0000 0.0000 x3
Nd 0.0000 0.0000 0.2013 x3
Tl 0.0000 0.0000 0.4342 x3
P 0.0000 0.0000 0.6017 x3

=====

version i is favored, and the nearest alternative lies 0.047 eV/atom above it.

=====

Version i
VASP calculation (PBE) on Nd3TlP after structural relaxation.

Properties
M_tot   0.0 μB per cell

a = 5.4793 Å, b = 5.4793 Å, c = 5.4793 Å
α = 90.00°, β = 90.00°, γ = 90.00°
Space group Pm-3m (No. 221)
Inequivalent atoms, fractional coordinates:
Nd 0.0000 0.0000 0.5000 x3
Tl 0.5000 0.5000 0.5000 x1
P 0.0000 0.0000 0.0000 x1

=====

Version ii
VASP calculation (PBE) on Nd3TlP after structural relaxation.

Properties
M_tot   0.0 μB per cell

a = 9.1940 Å, b = 4.1320 Å, c = 15.8950 Å
α = 90.00°, β = 90.00°, γ = 90.00°
Space group Pnma (No. 62)
Inequivalent atoms, fractional coordinates:
Nd 0.0263 0.2500 0.1067 x4
Nd 0.1603 0.2500 0.5167 x4
Nd 0.1858 0.7500 0.2933 x4
Tl 0.1003 0.7500 0.6812 x4
P 0.1681 0.2500 0.9464 x4

=====

version ii is favored, and the nearest alternative lies 0.152 eV/atom above it.

=====

Version i
VASP calculation (PBE) on NdTmP2 after structural relaxation.

Properties
M_tot   0.0 μB per cell

a = 4.0169 Å, b = 4.0169 Å, c = 7.0371 Å
α = 90.00°, β = 90.00°, γ = 120.00°
Space group P-3m1 (No. 164)
Inequivalent atoms, fractional coordinates:
Nd 0.0000 0.0000 0.0000 x1
Tm 0.0000 0.0000 0.5000 x1
P 0.3333 0.6667 0.7368 x2

=====

Version ii
VASP calculation (PBE) on NdTmP2 after structural relaxation.

Properties
M_tot   0.0 μB per cell

a = 4.0627 Å, b = 4.0627 Å, c = 19.8534 Å
α = 90.00°, β = 90.00°, γ = 120.00°
Space group R-3m (No. 166, hexagonal axes)
Inequivalent atoms, fractional coordinates:
Nd 0.0000 0.0000 0.0000 x3
Tm 0.0000 0.0000 0.5000 x3
P 0.0000 0.0000 0.2455 x6

=====

version ii is favored, and the nearest alternative lies 0.199 eV/atom above it.

=====

Version i
VASP calculation (PBE) on NdYP2 after structural relaxation.

Properties
M_tot   0.0 μB per cell

a = 4.0947 Å, b = 4.0947 Å, c = 20.0200 Å
α = 90.00°, β = 90.00°, γ = 120.00°
Space group R-3m (No. 166, hexagonal axes)
Inequivalent atoms, fractional coordinates:
Nd 0.0000 0.0000 0.0000 x3
Y 0.0000 0.0000 0.5000 x3
P 0.0000 0.0000 0.2470 x6

=====

Version ii
VASP calculation (PBE) on NdYP2 after structural relaxation.

Properties
M_tot   0.0 μB per cell

a = 4.0541 Å, b = 4.0541 Å, c = 20.8712 Å
α = 90.00°, β = 90.00°, γ = 120.00°
Space group R3m (No. 160, hexagonal axes)
Inequivalent atoms, fractional coordinates:
Nd 0.0000 0.0000 0.0000 x3
Y 0.0000 0.0000 0.8284 x3
P 0.0000 0.0000 0.4156 x3
P 0.0000 0.0000 0.5785 x3

=====

version i is favored, and the nearest alternative lies 0.179 eV/atom above it.

=====

Version i
VASP calculation (PBE) on NdPa2 after structural relaxation.

Properties
M_tot   0.0 μB per cell

a = 3.2392 Å, b = 3.2392 Å, c = 15.6563 Å
α = 90.00°, β = 90.00°, γ = 90.00°
Space group I4/mmm (No. 139)
Inequivalent atoms, fractional coordinates:
Nd 0.0000 0.0000 0.0000 x2
Pa 0.0000 0.0000 0.3262 x4

=====

Version ii
VASP calculation (PBE) on NdPa2 after structural relaxation.

Properties
M_tot   0.0 μB per cell

a = 8.7584 Å, b = 8.7584 Å, c = 8.7584 Å
α = 90.00°, β = 90.00°, γ = 90.00°
Space group Fd-3m (No. 227, origin choice 2)
Inequivalent atoms, fractional coordinates:
Nd 0.1250 0.1250 0.1250 x8
Pa 0.0000 0.0000 0.5000 x16

=====

version i is favored, and the nearest alternative lies 0.040 eV/atom above it.

=====

Version i
VASP calculation (PBE) on NdPaPb2 after structural relaxation.

Properties
M_tot   0.7 μB per cell

a = 3.5225 Å, b = 3.5225 Å, c = 9.1924 Å
α = 90.00°, β = 90.00°, γ = 90.00°
Space group P4/mmm (No. 123)
Inequivalent atoms, fractional coordinates:
Nd 0.0000 0.0000 0.0000 x1
Pa 0.0000 0.0000 0.5000 x1
Pb 0.5000 0.5000 0.2545 x2

=====

Version ii
VASP calculation (PBE) on NdPaPb2 after structural relaxation.

Properties
M_tot   1.3 μB per cell

a = 5.0644 Å, b = 5.0644 Å, c = 4.4801 Å
α = 90.00°, β = 90.00°, γ = 90.00°
Space group P4/mmm (No. 123)
Inequivalent atoms, fractional coordinates:
Nd 0.0000 0.0000 0.0000 x1
Pa 0.5000 0.5000 0.0000 x1
Pb 0.0000 0.5000 0.5000 x2

=====

Version iii
VASP calculation (PBE) on NdPaPb2 after structural relaxation.

Properties
M_tot   10.3 μB per cell

a = 7.7712 Å, b = 7.7712 Å, c = 7.7712 Å
α = 90.00°, β = 90.00°, γ = 90.00°
Space group Fm-3m (No. 225)
Inequivalent atoms, fractional coordinates:
Nd 0.0000 0.0000 0.0000 x4
Pa 0.0000 0.0000 0.5000 x4
Pb 0.2500 0.2500 0.2500 x8

=====

version i is favored, and the nearest alternative lies 0.040 eV/atom above it.

=====

Version i
VASP calculation (PBE) on Nd2PaPb after structural relaxation.

Properties
M_tot   0.0 μB per cell

a = 3.9799 Å, b = 3.9799 Å, c = 7.4360 Å
α = 90.00°, β = 90.00°, γ = 90.00°
Space group P4/mmm (No. 123)
Inequivalent atoms, fractional coordinates:
Nd 0.0000 0.0000 0.2359 x2
Pa 0.5000 0.5000 0.5000 x1
Pb 0.5000 0.5000 0.0000 x1

=====

Version ii
VASP calculation (PBE) on Nd2PaPb after structural relaxation.

Properties
M_tot   0.0 μB per cell

a = 5.0064 Å, b = 5.0064 Å, c = 4.6398 Å
α = 90.00°, β = 90.00°, γ = 90.00°
Space group P4/mmm (No. 123)
Inequivalent atoms, fractional coordinates:
Nd 0.0000 0.5000 0.0000 x2
Pa 0.0000 0.0000 0.5000 x1
Pb 0.5000 0.5000 0.5000 x1

=====

version ii is favored, and the nearest alternative lies 0.043 eV/atom above it.

=====

Version i
VASP calculation (PBE) on NdPaPd6 after structural relaxation.

Properties
M_tot   0.3 μB per cell

a = 4.1740 Å, b = 4.1740 Å, c = 8.3558 Å
α = 90.00°, β = 90.00°, γ = 90.00°
Space group P4/mmm (No. 123)
Inequivalent atoms, fractional coordinates:
Nd 0.0000 0.0000 0.0000 x1
Pa 0.0000 0.0000 0.5000 x1
Pd 0.0000 0.5000 0.2604 x4
Pd 0.5000 0.5000 0.0000 x1
Pd 0.5000 0.5000 0.5000 x1

=====

Version ii
VASP calculation (PBE) on NdPaPd6 after structural relaxation.

Properties
M_tot   0.0 μB per cell

a = 7.0220 Å, b = 7.0220 Å, c = 11.8881 Å
α = 90.00°, β = 90.00°, γ = 120.00°
Space group R-3m (No. 166, hexagonal axes)
Inequivalent atoms, fractional coordinates:
Nd 0.0000 0.0000 0.0000 x3
Pa 0.0000 0.0000 0.5000 x3
Pd 0.0777 0.5388 0.8931 x18

=====

version i is favored, and the nearest alternative lies 0.352 eV/atom above it.

=====

Version i
VASP calculation (PBE) on PrNd2Pa after structural relaxation.

Properties
M_tot   0.0 μB per cell

a = 3.4096 Å, b = 3.4096 Å, c = 37.9920 Å
α = 90.00°, β = 90.00°, γ = 120.00°
Space group R-3m (No. 166, hexagonal axes)
Inequivalent atoms, fractional coordinates:
Pr 0.0000 0.0000 0.0000 x3
Nd 0.0000 0.0000 0.4149 x6
Pa 0.0000 0.0000 0.5000 x3

=====

Version ii
VASP calculation (PBE) on PrNd2Pa after structural relaxation.

Properties
M_tot   0.0 μB per cell

a = 3.4760 Å, b = 3.4760 Å, c = 10.6796 Å
α = 90.00°, β = 90.00°, γ = 90.00°
Space group P4/mmm (No. 123)
Inequivalent atoms, fractional coordinates:
Pr 0.0000 0.0000 0.0000 x1
Nd 0.5000 0.5000 0.2747 x2
Pa 0.0000 0.0000 0.5000 x1

=====

version ii is favored, and the nearest alternative lies 0.181 eV/atom above it.

=====

Version i
VASP calculation (PBE) on Pr2NdPa after structural relaxation.

Properties
M_tot   0.0 μB per cell

a = 3.4838 Å, b = 3.4838 Å, c = 10.7131 Å
α = 90.00°, β = 90.00°, γ = 90.00°
Space group P4/mmm (No. 123)
Inequivalent atoms, fractional coordinates:
Pr 0.0000 0.0000 0.2264 x2
Nd 0.5000 0.5000 0.5000 x1
Pa 0.5000 0.5000 0.0000 x1

=====

Version ii
VASP calculation (PBE) on Pr2NdPa after structural relaxation.

Properties
M_tot   0.0 μB per cell

a = 3.4172 Å, b = 3.4172 Å, c = 38.0954 Å
α = 90.00°, β = 90.00°, γ = 120.00°
Space group R-3m (No. 166, hexagonal axes)
Inequivalent atoms, fractional coordinates:
Pr 0.0000 0.0000 0.0851 x6
Nd 0.0000 0.0000 0.5000 x3
Pa 0.0000 0.0000 0.0000 x3

=====

version i is favored, and the nearest alternative lies 0.171 eV/atom above it.

=====

Version i
VASP calculation (PBE) on NdPaPt after structural relaxation.

Properties
M_tot   0.0 μB per cell

a = 4.6763 Å, b = 4.6763 Å, c = 4.3653 Å
α = 90.00°, β = 90.00°, γ = 120.00°
Space group P-6m2 (No. 187)
Inequivalent atoms, fractional coordinates:
Nd 0.0000 0.0000 0.0000 x1
Pa 0.6667 0.3333 0.5000 x1
Pt 0.3333 0.6667 0.5000 x1

=====

Version ii
VASP calculation (PBE) on NdPaPt after structural relaxation.

Properties
M_tot   0.0 μB per cell

a = 3.8919 Å, b = 11.8943 Å, c = 7.0719 Å
α = 90.00°, β = 90.00°, γ = 90.00°
Space group Cmcm (No. 63)
Inequivalent atoms, fractional coordinates:
Nd 0.0000 0.2053 0.2500 x4
Pa 0.0000 0.5000 0.0000 x4
Pt 0.0000 0.0867 0.7500 x4

=====

version ii is favored, and the nearest alternative lies 0.344 eV/atom above it.

=====

Version i
VASP calculation (PBE) on NdPuPa after structural relaxation.

Properties
M_tot   11.8 μB per cell

a = 3.4432 Å, b = 3.4432 Å, c = 14.0911 Å
α = 90.00°, β = 90.00°, γ = 90.00°
Space group I4mm (No. 107)
Inequivalent atoms, fractional coordinates:
Nd 0.0000 0.0000 0.0000 x2
Pu 0.0000 0.0000 0.3062 x2
Pa 0.0000 0.0000 0.6715 x2

=====

Version ii
VASP calculation (PBE) on NdPuPa after structural relaxation.

Properties
M_tot   40.3 μB per cell

a = 5.5223 Å, b = 5.5223 Å, c = 19.5284 Å
α = 90.00°, β = 90.00°, γ = 120.00°
Space group R-3m (No. 166, hexagonal axes)
Inequivalent atoms, fractional coordinates:
Nd 0.0000 0.0000 0.1072 x6
Pu 0.0000 0.0000 0.2954 x6
Pa 0.0000 0.0000 0.4307 x6

=====

version i is favored, and the nearest alternative lies 0.318 eV/atom above it.

=====

Version i
VASP calculation (PBE) on NdPa2Re after structural relaxation.

Properties
M_tot   0.0 μB per cell

a = 3.8504 Å, b = 3.8504 Å, c = 26.5720 Å
α = 90.00°, β = 90.00°, γ = 120.00°
Space group R-3m (No. 166, hexagonal axes)
Inequivalent atoms, fractional coordinates:
Nd 0.0000 0.0000 0.0000 x3
Pa 0.0000 0.0000 0.2272 x6
Re 0.0000 0.0000 0.5000 x3

=====

Version ii
VASP calculation (PBE) on NdPa2Re after structural relaxation.

Properties
M_tot   0.0 μB per cell

a = 3.3431 Å, b = 3.3431 Å, c = 8.9434 Å
α = 90.00°, β = 90.00°, γ = 90.00°
Space group P4/mmm (No. 123)
Inequivalent atoms, fractional coordinates:
Nd 0.0000 0.0000 0.0000 x1
Pa 0.5000 0.5000 0.2998 x2
Re 0.0000 0.0000 0.5000 x1

=====

version ii is favored, and the nearest alternative lies 0.148 eV/atom above it.